Entry 1:
Computed, not measured: crystalline KCaV at its relaxed geometry at the PBE level of DFT.

Lattice parameters (Å, degrees): 3.4008 6.9679 9.6849 109.24 96.89 97.63
Closest atoms and distances in Å follow each position.
Atoms (fractional coordinates):
K (0.0000, 0.0000, 0.0000)  4 K 3.40-3.80
K (0.1988, 0.5797, 0.1540)  4 K 3.40-3.80, 1 Ca 3.64, 2 V 3.75-3.80
Ca (0.3188, 0.7713, 0.5571)  4 V 3.38-3.48, 4 Ca 3.40-3.73, 1 K 3.64
Ca (0.4191, 0.3450, 0.7011)  2 V 3.08-3.09, 2 Ca 3.40
V (0.6697, 0.3145, 0.4001)  1 V 1.85
V (0.8544, 0.0780, 0.4056)  1 V 1.85

Computed properties:
Its space group is P1. For the energy relative to the elements, the calculation gives 613.6 meV/atom.

=====

Entry 2:
Computed, not measured: crystalline KCaV at its relaxed geometry at the PBE level of DFT.

Lattice parameters (Å, degrees): 5.6540 5.6540 5.6540 60.00 60.00 60.00
Closest atoms and distances in Å follow each position.
Atoms (fractional coordinates):
K (0.0000, 0.0000, 0.0000)  4 V 3.46
Ca (0.5000, 0.5000, 0.5000)  4 V 3.46
V (0.7500, 0.7500, 0.7500)  4 Ca 3.46, 4 K 3.46

Computed properties:
Its space group is F-43m. For the energy relative to the elements, the calculation gives 1148.5 meV/atom.

=====

Entry 3:
Computed, not measured: crystalline KCaV at its relaxed geometry at the PBE level of DFT.

Lattice parameters (Å, degrees): 4.2922 5.8848 9.7828 107.47 93.06 90.12
Closest atoms and distances in Å follow each position.
Atoms (fractional coordinates):
K (0.0000, 0.0000, 0.0000)  2 Ca 3.69-3.96, 4 V 3.70-3.88, 2 K 3.92
K (0.3695, 0.3952, 0.7898)  1 V 3.81, 2 K 3.92, 1 Ca 4.26
Ca (0.4869, 0.1692, 0.3392)  4 V 3.18-3.41
Ca (0.8556, 0.7563, 0.5126)  3 V 3.15-3.41
V (0.2826, 0.6218, 0.2449)  1 V 1.83
V (0.6773, 0.5903, 0.1809)  1 V 1.83

Computed properties:
Its space group is P1. For the energy relative to the elements, the calculation gives 611.7 meV/atom.

=====

Entry 4:
Computed, not measured: crystalline KCaV at its relaxed geometry at the PBE level of DFT.

Lattice parameters (Å, degrees): 5.9721 5.9798 8.6334 109.95 110.02 90.70
Closest atoms and distances in Å follow each position.
Atoms (fractional coordinates):
K (0.0000, 0.0000, 0.0000)  1 V 3.66
K (0.3967, 0.3967, 0.7933)  1 V 3.66
Ca (0.2358, 0.7224, 0.3967)  4 V 3.12-3.13
Ca (0.7153, 0.2504, 0.3966)  4 V 3.12-3.14
V (0.6767, 0.6923, 0.2758)  1 V 1.82
V (0.7980, 0.8126, 0.5173)  1 V 1.82

Computed properties:
Its space group is P1. For the energy relative to the elements, the calculation gives 683.2 meV/atom.

=====

Entry 5:
Computed, not measured: crystalline KCaV at its relaxed geometry at the PBE level of DFT.

Lattice parameters (Å, degrees): 3.4394 6.0283 10.6022 79.13 89.79 85.13
Closest atoms and distances in Å follow each position.
Atoms (fractional coordinates):
K (0.0000, 0.0000, 0.0000)  2 K 3.44, 4 V 3.60-3.85, 1 Ca 3.79
K (0.3468, 0.5777, 0.7670)  2 K 3.44
Ca (0.8018, 0.1570, 0.5329)  2 V 3.13-3.30, 2 Ca 3.44
Ca (0.9985, 0.7078, 0.3498)  4 V 3.24-3.39, 3 Ca 3.44-3.63
V (0.3388, 0.2264, 0.2724)  1 V 1.86
V (0.5774, 0.4431, 0.1559)  1 V 1.86

Computed properties:
Its space group is P1. For the energy relative to the elements, the calculation gives 626.0 meV/atom.

=====

Entry 6:
Computed, not measured: crystalline KCaV at its relaxed geometry at the PBE level of DFT.

Lattice parameters (Å, degrees): 5.6078 5.6078 8.9279 90.04 90.04 60.00
Closest atoms and distances in Å follow each position.
Atoms (fractional coordinates):
K (0.0000, 0.0000, 0.0000)  4 Ca 3.92-4.17, 3 V 4.01, 3 K 4.02-4.03
K (0.6663, 0.6663, 0.2671)  4 Ca 3.92-4.17, 3 V 4.00, 3 K 4.02-4.03
Ca (0.9997, 0.9997, 0.5609)  6 V 3.25-3.59, 3 Ca 3.49
Ca (0.6665, 0.6665, 0.7059)  6 V 3.25-3.60, 3 Ca 3.49
V (0.3330, 0.3330, 0.5304)  1 V 1.83
V (0.3333, 0.3333, 0.7355)  1 V 1.83

Computed properties:
Its space group is Cm. For the energy relative to the elements, the calculation gives 632.9 meV/atom.

=====

Entry 7:
Computed, not measured: crystalline KCaV at its relaxed geometry at the PBE level of DFT.

Lattice parameters (Å, degrees): 5.9548 5.9548 3.4132 90.00 90.00 120.00
Closest atoms and distances in Å follow each position.
Atoms (fractional coordinates):
K (0.0000, 0.0000, 0.0000)  2 K 3.41
Ca (0.3333, 0.6667, 0.5000)  2 Ca 3.41, 3 V 3.44
V (0.6667, 0.3333, 0.5000)  2 V 3.41, 3 Ca 3.44

Computed properties:
Its space group is P-6m2. For the energy relative to the elements, the calculation gives 1004.1 meV/atom.

=====

Entry 8:
Computed, not measured: crystalline KCaV at its relaxed geometry at the PBE level of DFT.

Lattice parameters (Å, degrees): 5.9996 5.9996 6.8797 90.00 90.00 120.00
Closest atoms and distances in Å follow each position.
Atoms (fractional coordinates):
K (0.0000, 0.0000, 0.0000)  2 K 3.44
K (0.0000, 0.0000, 0.5000)  2 K 3.44
Ca (0.3333, 0.6667, 0.2500)  5 V 3.44-3.46
Ca (0.6667, 0.3333, 0.7500)  5 V 3.44-3.46
V (0.3333, 0.6667, 0.7500)  5 Ca 3.44-3.46
V (0.6667, 0.3333, 0.2500)  5 Ca 3.44-3.46

Computed properties:
Its space group is P6_3/mmc. For the energy relative to the elements, the calculation gives 964.5 meV/atom.

=====

Number 1: total DFT energy (no corrections) -3.459 eV/atom. Number 2: total DFT energy (no corrections) -2.924 eV/atom. Number 3: total DFT energy (no corrections) -3.461 eV/atom. Number 4: total DFT energy (no corrections) -3.389 eV/atom. Number 5: total DFT energy (no corrections) -3.447 eV/atom. Number 6: total DFT energy (no corrections) -3.440 eV/atom. Number 7: total DFT energy (no corrections) -3.068 eV/atom. Number 8: total DFT energy (no corrections) -3.108 eV/atom.